No. 1
Material: AcPuO2
Method: DFT, PBE
State: optimized geometry Values from VASP.

Output
The uncorrected formation energy is -7.44 eV per formula unit. The calculation puts the total energy at -35.8 eV for the cell shown. Its crystal system is tetragonal.

Cell and atoms, written as Quantum ESPRESSO input:
```
&SYSTEM
  ibrav = 0, nat = 4, ntyp = 3
/
ATOMIC_SPECIES
Ac 227.00 Ac.upf
O 16.00 O.upf
Pu 244.00 Pu.upf
ATOMIC_POSITIONS angstrom
Ac 1.603 2.267 2.267
O 0.000 0.000 2.267
O 0.000 2.267 0.000
Pu 1.603 0.000 0.000
CELL_PARAMETERS angstrom
3.206 0.000 0.000
0.000 4.533 0.000
0.000 0.000 4.533
```


No. 2
Material: Ac2PuO6
Method: DFT, PBE
State: optimized geometry Values from VASP.

Output
The uncorrected formation energy is -27.65 eV per formula unit. The calculation puts the total energy at -159.9 eV for the cell shown. Its crystal system is monoclinic.

Cell and atoms, written as Quantum ESPRESSO input:
```
&SYSTEM
  ibrav = 0, nat = 18, ntyp = 3
/
ATOMIC_SPECIES
Ac 227.00 Ac.upf
Pu 244.00 Pu.upf
O 16.00 O.upf
ATOMIC_POSITIONS angstrom
Ac -2.080 -3.035 0.672
Ac 1.370 -3.291 -2.020
Ac -2.765 -9.351 -0.675
Ac 0.684 -9.608 -3.368
Pu -2.486 -2.088 -2.880
Pu 1.788 -4.234 1.533
O 1.378 -6.283 1.164
O 0.241 -3.643 0.203
O -1.781 -1.204 -1.235
O -2.795 -6.750 -0.097
O -3.136 -3.603 -1.541
O -0.659 -9.414 0.562
O -2.774 -6.360 -3.859
O -1.636 -9.000 -2.898
O 0.386 -11.439 -1.461
O 1.400 -5.893 -2.598
O 1.740 -9.039 -1.154
O -0.737 -3.229 -3.258
CELL_PARAMETERS angstrom
-5.696 -2.397 0.023
0.725 -1.778 -5.783
3.576 -8.467 3.065
```


No. 3
Material: AcPuO2
Method: DFT, PBE
State: optimized geometry Values from VASP.

Output
The uncorrected formation energy is -10.21 eV per formula unit. The calculation puts the total energy at -38.6 eV for the cell shown. Its crystal system is trigonal.

Cell and atoms, written as Quantum ESPRESSO input:
```
&SYSTEM
  ibrav = 0, nat = 4, ntyp = 3
/
ATOMIC_SPECIES
Ac 227.00 Ac.upf
O 16.00 O.upf
Pu 244.00 Pu.upf
ATOMIC_POSITIONS angstrom
Ac -0.393 1.153 5.563
O -1.199 2.937 3.901
O 0.413 -0.630 7.226
Pu 0.000 0.000 0.000
CELL_PARAMETERS angstrom
-1.230 -2.042 3.206
2.435 -0.453 3.136
-1.991 4.802 4.785
```